First-principles (PBE) data for a relaxed structure of Cs2Sr3LaF12, as listed in the Alexandria database.

* E_tot: -5.294 eV per atom
* raw formation energy: -328 kJ per mole of atoms

a = 8.6153 Å, b = 8.6153 Å, c = 22.3061 Å
α = 90.00°, β = 90.00°, γ = 120.00°
Space group R-3m (No. 166, hexagonal axes)
One atom of each set of equivalent atoms:
Cs1 0.0000 0.0000 0.0926
Sr1 0.0000 0.5000 0.0000
La1 0.0000 0.0000 0.5000
F1 0.0426 0.5213 0.3600
F2 0.0847 0.5424 0.1045